DFT (PBE) results for a geometry-optimized FeSiCN structure.

Energy relative to the elements, uncorrected in kJ/mol of formula units: -35
VASP energy in Ry/atom: -0.5842
DOS(E_F) in states/eV per atom: 0.220
Space group: R3m (160)

a b c (Å): 2.8604 2.8604 16.5481
angles (deg): 90.00 90.00 120.00
Fractional coordinates of all 12 atoms:
Fe: 0.0000 0.0000 0.0000
Fe: 0.3333 0.6667 0.6667
Fe: 0.6667 0.3333 0.3333
Si: 0.0000 0.0000 0.5004
Si: 0.3333 0.6667 0.1670
Si: 0.6667 0.3333 0.8337
C: 0.0000 0.0000 0.6096
C: 0.3333 0.6667 0.2763
C: 0.6667 0.3333 0.9430
N: 0.0000 0.0000 0.1271
N: 0.3333 0.6667 0.7937
N: 0.6667 0.3333 0.4604



DFT (PBE) results for a geometry-optimized FeSiCN structure.

Energy relative to the elements, uncorrected in kJ/mol of formula units: 79
VASP energy in Ry/atom: -0.5625
DOS(E_F) in states/eV per atom: 0.381
Space group: Cm (8)

a b c (Å): 5.7817 2.7546 5.2991
angles (deg): 90.00 116.08 90.00
Fractional coordinates of all 8 atoms:
Fe: 0.0000 0.0000 0.0000
Fe: 0.5000 0.5000 0.0000
Si: 0.0667 0.5000 0.6579
Si: 0.5667 0.0000 0.6579
C: 0.2499 0.5000 0.1508
C: 0.7499 0.0000 0.1508
N: 0.4715 0.5000 0.3977
N: 0.9715 0.0000 0.3977



DFT (PBE) results for a geometry-optimized FeSiCN structure.

Energy relative to the elements, uncorrected in kJ/mol of formula units: 128
VASP energy in Ry/atom: -0.5532
DOS(E_F) in states/eV per atom: 0.446
Space group: I4mm (107)

a b c (Å): 2.6695 2.6695 10.1593
angles (deg): 90.00 90.00 90.00
Fractional coordinates of all 8 atoms:
Fe: 0.0000 0.0000 0.0000
Fe: 0.5000 0.5000 0.5000
Si: 0.0000 0.0000 0.2335
Si: 0.5000 0.5000 0.7335
C: 0.0000 0.0000 0.5123
C: 0.5000 0.5000 0.0123
N: 0.0000 0.0000 0.7826
N: 0.5000 0.5000 0.2826



DFT (PBE) results for a geometry-optimized FeSiCN structure.

Energy relative to the elements, uncorrected in kJ/mol of formula units: 5
VASP energy in Ry/atom: -0.5766
DOS(E_F) in states/eV per atom: 0.241
Space group: P3m1 (156)

a b c (Å): 3.0866 3.0866 4.8836
angles (deg): 90.00 90.00 120.00
Fractional coordinates of all 4 atoms:
Fe: 0.0000 0.0000 0.0000
Si: 0.3333 0.6667 0.5143
C: 0.0000 0.0000 0.4107
N: 0.3333 0.6667 0.8939



DFT (PBE) results for a geometry-optimized FeSiCN structure.

Energy relative to the elements, uncorrected in kJ/mol of formula units: 158
VASP energy in Ry/atom: -0.5474
DOS(E_F) in states/eV per atom: 0.406
Space group: Pm (6)

a b c (Å): 3.6812 2.9274 3.8528
angles (deg): 90.00 112.29 90.00
Fractional coordinates of all 4 atoms:
Fe: 0.0000 0.0000 0.0000
Si: 0.6016 0.5000 0.2334
C: 0.4713 0.0000 0.4971
N: 0.4363 0.0000 0.8393



DFT (PBE) results for a geometry-optimized FeSiCN structure.

Energy relative to the elements, uncorrected in kJ/mol of formula units: 6
VASP energy in Ry/atom: -0.5764
DOS(E_F) in states/eV per atom: 0.076
Space group: R3m (160)

a b c (Å): 3.0110 3.0110 15.3258
angles (deg): 90.00 90.00 120.00
Fractional coordinates of all 12 atoms:
Fe: 0.0000 0.0000 0.0000
Fe: 0.3333 0.6667 0.6667
Fe: 0.6667 0.3333 0.3333
Si: 0.0000 0.0000 0.8513
Si: 0.3333 0.6667 0.5180
Si: 0.6667 0.3333 0.1847
C: 0.0000 0.0000 0.3163
C: 0.3333 0.6667 0.9830
C: 0.6667 0.3333 0.6496
N: 0.0000 0.0000 0.1399
N: 0.3333 0.6667 0.8065
N: 0.6667 0.3333 0.4732



DFT (PBE) results for a geometry-optimized FeSiCN structure.

Energy relative to the elements, uncorrected in kJ/mol of formula units: -17
VASP energy in Ry/atom: -0.5808
DOS(E_F) in states/eV per atom: 0.394
Space group: P3m1 (156)

a b c (Å): 2.8401 2.8401 5.6034
angles (deg): 90.00 90.00 120.00
Fractional coordinates of all 4 atoms:
Fe: 0.0000 0.0000 0.0000
Si: 0.3333 0.6667 0.5011
C: 0.3333 0.6667 0.1752
N: 0.0000 0.0000 0.6238



DFT (PBE) results for a geometry-optimized Sm2Fe17CN structure.

Energy relative to the elements, uncorrected in kJ/mol of formula units: -184
VASP energy in Ry/atom: -0.6046
DOS(E_F) in states/eV per atom: 0.725
Space group: P-1 (2)

a b c (Å): 6.4752 6.5063 6.5198
angles (deg): 83.86 83.68 83.73
Fractional coordinates of all 21 atoms:
Sm: 0.1589 0.1493 0.1606
Sm: 0.8411 0.8507 0.8394
Fe: 0.0000 0.5000 0.5000
Fe: 0.1540 0.1562 0.6427
Fe: 0.1561 0.6443 0.1608
Fe: 0.2134 0.5008 0.7853
Fe: 0.2165 0.7820 0.5018
Fe: 0.3530 0.8424 0.8399
Fe: 0.4032 0.4037 0.4053
Fe: 0.4969 0.2179 0.7830
Fe: 0.5000 0.0000 0.5000
Fe: 0.5000 0.5000 0.0000
Fe: 0.5031 0.7821 0.2170
Fe: 0.5968 0.5963 0.5947
Fe: 0.6470 0.1576 0.1601
Fe: 0.7835 0.2180 0.4982
Fe: 0.7866 0.4992 0.2147
Fe: 0.8439 0.3557 0.8392
Fe: 0.8460 0.8438 0.3573
C: 0.0000 0.5000 0.0000
N: 0.5000 0.0000 0.0000



DFT (PBE) results for a geometry-optimized FeSn2C6N6 structure.

Energy relative to the elements, uncorrected in kJ/mol of formula units: 327
VASP energy in Ry/atom: -0.5800
DOS(E_F) in states/eV per atom: 0.000
Space group: P-3 (147)

a b c (Å): 7.2343 7.2343 5.7336
angles (deg): 90.00 90.00 120.00
Fractional coordinates of all 15 atoms:
Fe: 0.0000 0.0000 0.0000
Sn: 0.3333 0.6667 0.5380
Sn: 0.6667 0.3333 0.4620
C: 0.0777 0.2415 0.1855
C: 0.1638 0.9223 0.1855
C: 0.2415 0.1638 0.8145
C: 0.7585 0.8362 0.1855
C: 0.8362 0.0777 0.8145
C: 0.9223 0.7585 0.8145
N: 0.1238 0.3960 0.2969
N: 0.2722 0.8762 0.2969
N: 0.3960 0.2722 0.7031
N: 0.6040 0.7278 0.2969
N: 0.7278 0.1238 0.7031
N: 0.8762 0.6040 0.7031



DFT (PBE) results for a geometry-optimized Sr6FeC2N7 structure.

Energy relative to the elements, uncorrected in kJ/mol of formula units: -1067
VASP energy in Ry/atom: -0.4885
DOS(E_F) in states/eV per atom: 0.146
Space group: P2_12_12 (18)

a b c (Å): 9.9583 14.8756 3.8630
angles (deg): 90.00 90.00 90.00
Fractional coordinates of all 32 atoms:
Sr: 0.0703 0.1099 0.0554
Sr: 0.0971 0.6657 0.5110
Sr: 0.2445 0.9433 0.5576
Sr: 0.2555 0.4433 0.4424
Sr: 0.4029 0.1657 0.4890
Sr: 0.4297 0.6099 0.9446
Sr: 0.5703 0.3901 0.9446
Sr: 0.5971 0.8343 0.4890
Sr: 0.7445 0.5567 0.4424
Sr: 0.7555 0.0567 0.5576
Sr: 0.9029 0.3343 0.5110
Sr: 0.9297 0.8901 0.0554
Fe: 0.0000 0.5000 0.9792
Fe: 0.5000 0.0000 0.0208
C: 0.2268 0.2804 0.8156
C: 0.2732 0.7804 0.1844
C: 0.7268 0.2196 0.1844
C: 0.7732 0.7196 0.8156
N: 0.0000 0.0000 0.5634
N: 0.1328 0.2505 0.6388
N: 0.1675 0.5552 0.9758
N: 0.1710 0.8085 0.0345
N: 0.3290 0.3085 0.9655
N: 0.3325 0.0552 0.0242
N: 0.3672 0.7505 0.3612
N: 0.5000 0.5000 0.4366
N: 0.6328 0.2495 0.3612
N: 0.6675 0.9448 0.0242
N: 0.6710 0.6915 0.9655
N: 0.8290 0.1915 0.0345
N: 0.8325 0.4448 0.9758
N: 0.8672 0.7495 0.6388



DFT (PBE) results for a geometry-optimized Tb2Fe17CN structure.

Energy relative to the elements, uncorrected in kJ/mol of formula units: -228
VASP energy in Ry/atom: -0.6056
DOS(E_F) in states/eV per atom: 0.748
Space group: P-1 (2)

a b c (Å): 6.4411 6.4716 6.5089
angles (deg): 83.68 83.51 83.14
Fractional coordinates of all 21 atoms:
Tb: 0.1614 0.1511 0.1590
Tb: 0.8386 0.8489 0.8410
Fe: 0.0000 0.5000 0.5000
Fe: 0.1535 0.1556 0.6445
Fe: 0.1550 0.6460 0.1600
Fe: 0.2108 0.7877 0.5020
Fe: 0.2132 0.5023 0.7844
Fe: 0.3514 0.8436 0.8406
Fe: 0.4033 0.4039 0.4047
Fe: 0.4982 0.2180 0.7819
Fe: 0.5000 0.0000 0.5000
Fe: 0.5000 0.5000 0.0000
Fe: 0.5018 0.7820 0.2181
Fe: 0.5967 0.5961 0.5953
Fe: 0.6486 0.1564 0.1594
Fe: 0.7868 0.4977 0.2156
Fe: 0.7892 0.2123 0.4980
Fe: 0.8450 0.3540 0.8400
Fe: 0.8465 0.8444 0.3555
C: 0.0000 0.5000 0.0000
N: 0.5000 0.0000 0.0000



DFT (PBE) results for a geometry-optimized FeTe2CN structure.

Energy relative to the elements, uncorrected in kJ/mol of formula units: 646
VASP energy in Ry/atom: -0.3763
DOS(E_F) in states/eV per atom: 0.607
Space group: P4/mmm (123)

a b c (Å): 5.0959 5.0959 3.3632
angles (deg): 90.00 90.00 90.00
Fractional coordinates of all 5 atoms:
Fe: 0.0000 0.0000 0.0000
Te: 0.0000 0.5000 0.0000
Te: 0.5000 0.0000 0.0000
C: 0.5000 0.5000 0.5000
N: 0.0000 0.0000 0.5000



DFT (PBE) results for a geometry-optimized FeTe2CN structure.

Energy relative to the elements, uncorrected in kJ/mol of formula units: 551
VASP energy in Ry/atom: -0.3908
DOS(E_F) in states/eV per atom: 1.059
Space group: P4/mmm (123)

a b c (Å): 6.1364 6.1364 2.6158
angles (deg): 90.00 90.00 90.00
Fractional coordinates of all 5 atoms:
Fe: 0.0000 0.0000 0.0000
Te: 0.0000 0.5000 0.5000
Te: 0.5000 0.0000 0.5000
C: 0.5000 0.5000 0.5000
N: 0.5000 0.5000 0.0000



DFT (PBE) results for a geometry-optimized TlFe2CN structure.

Energy relative to the elements, uncorrected in kJ/mol of formula units: 617
VASP energy in Ry/atom: -0.4476
DOS(E_F) in states/eV per atom: 0.623
Space group: P4/mmm (123)

a b c (Å): 3.6462 3.6462 5.5437
angles (deg): 90.00 90.00 90.00
Fractional coordinates of all 5 atoms:
Tl: 0.0000 0.0000 0.0000
Fe: 0.0000 0.5000 0.5000
Fe: 0.5000 0.0000 0.5000
C: 0.0000 0.0000 0.5000
N: 0.5000 0.5000 0.0000



DFT (PBE) results for a geometry-optimized Fe2WCN structure.

Energy relative to the elements, uncorrected in kJ/mol of formula units: 402
VASP energy in Ry/atom: -0.6360
DOS(E_F) in states/eV per atom: 0.864
Space group: P4/mmm (123)

a b c (Å): 3.5960 3.5960 4.1512
angles (deg): 90.00 90.00 90.00
Fractional coordinates of all 5 atoms:
Fe: 0.0000 0.5000 0.0000
Fe: 0.5000 0.0000 0.0000
W: 0.0000 0.0000 0.5000
C: 0.5000 0.5000 0.5000
N: 0.0000 0.0000 0.0000



DFT (PBE) results for a geometry-optimized Na3FeC structure.

Formation enthalpy at 0 K in meV/atom: 1387
VASP energy in Ry/atom: -0.2162
DOS(E_F) in states/eV per atom: 1.418
Space group: Pm-3m (221)

a b c (Å): 4.9419 4.9419 4.9419
angles (deg): 90.00 90.00 90.00
Fractional coordinates of all 5 atoms:
Na: 0.0000 0.0000 0.5000
Na: 0.0000 0.5000 0.0000
Na: 0.5000 0.0000 0.0000
Fe: 0.5000 0.5000 0.5000
C: 0.0000 0.0000 0.0000



DFT (PBE) results for a geometry-optimized Na3FeC structure.

Formation enthalpy at 0 K in meV/atom: 2000
VASP energy in Ry/atom: -0.1712
DOS(E_F) in states/eV per atom: 2.716
Space group: Pm-3m (221)

a b c (Å): 5.3184 5.3184 5.3184
angles (deg): 90.00 90.00 90.00
Fractional coordinates of all 5 atoms:
Na: 0.0000 0.0000 0.5000
Na: 0.0000 0.5000 0.0000
Na: 0.5000 0.0000 0.0000
Fe: 0.0000 0.0000 0.0000
C: 0.5000 0.5000 0.5000



DFT (PBE) results for a geometry-optimized NaFeC3 structure.

Formation enthalpy at 0 K in meV/atom: 1733
VASP energy in Ry/atom: -0.4232
DOS(E_F) in states/eV per atom: 0.565
Space group: Pm-3m (221)

a b c (Å): 3.7457 3.7457 3.7457
angles (deg): 90.00 90.00 90.00
Fractional coordinates of all 5 atoms:
Na: 0.0000 0.0000 0.0000
Fe: 0.5000 0.5000 0.5000
C: 0.0000 0.5000 0.5000
C: 0.5000 0.0000 0.5000
C: 0.5000 0.5000 0.0000